# 1
Below is a relaxed structure of AgBi3N, with properties calculated at the PBE level. Values from VASP.

Values from the calculation:
D(E_F) (states/eV/f.u.): 7.40
Energy relative to the lowest polymorph listed for this composition (eV per atom): 1.1610
VASP energy (eV per atom): -2.84

Cell and atoms, written as Quantum ESPRESSO input:
```
&SYSTEM
  ibrav = 0, nat = 5, ntyp = 3
/
ATOMIC_SPECIES
Ag 107.87 Ag.upf
Bi 208.98 Bi.upf
N 14.01 N.upf
ATOMIC_POSITIONS crystal
Ag 0.000 0.000 0.000
Bi 0.000 0.000 0.500
Bi 0.000 0.500 0.000
Bi 0.500 0.000 0.000
N 0.500 0.500 0.500
CELL_PARAMETERS angstrom
5.447 0.000 0.000
0.000 5.447 0.000
0.000 0.000 5.447
```

***

# 2
Below is a relaxed structure of SIO2, with properties calculated at the PBE level. Values from VASP.

Values from the calculation:
D(E_F) (states/eV/f.u.): 4.05
Energy relative to the lowest polymorph listed for this composition (eV per atom): 1.0889
VASP energy (eV per atom): -2.80

Cell and atoms, written as Quantum ESPRESSO input:
```
&SYSTEM
  ibrav = 0, nat = 4, ntyp = 3
/
ATOMIC_SPECIES
S 32.06 S.upf
I 126.90 I.upf
O 16.00 O.upf
ATOMIC_POSITIONS crystal
S 0.000 0.000 0.000
I 0.500 0.500 0.500
O 0.250 0.250 0.250
O 0.750 0.750 0.750
CELL_PARAMETERS angstrom
0.000 2.977 2.977
2.977 0.000 2.977
2.977 2.977 0.000
```

***

# 3
Below is a relaxed structure of Re3P, with properties calculated at the PBE level. Values from VASP.

Values from the calculation:
D(E_F) (states/eV/f.u.): 3.83
Energy relative to the lowest polymorph listed for this composition (eV per atom): 0.5483
DFT formation energy (eV/atom): 0.427
VASP energy (eV per atom): -10.26

Cell and atoms, written as Quantum ESPRESSO input:
```
&SYSTEM
  ibrav = 0, nat = 4, ntyp = 2
/
ATOMIC_SPECIES
Re 186.21 Re.upf
P 30.97 P.upf
ATOMIC_POSITIONS crystal
Re 0.000 0.000 0.000
Re 0.250 0.750 0.500
Re 0.750 0.250 0.500
P 0.500 0.500 0.000
CELL_PARAMETERS angstrom
-1.871 1.871 4.081
1.871 -1.871 4.081
1.871 1.871 -4.081
```

***

# 4
Below is a relaxed structure of Li3Ga3Ag2, with properties calculated at the PBE level. Values from VASP.

Values from the calculation:
D(E_F) (states/eV/f.u.): 2.12
Energy relative to the lowest polymorph listed for this composition (eV per atom): 0.0238
DFT formation energy (eV/atom): -0.207
VASP energy (eV per atom): -2.77

Cell and atoms, written as Quantum ESPRESSO input:
```
&SYSTEM
  ibrav = 0, nat = 8, ntyp = 3
/
ATOMIC_SPECIES
Li 6.94 Li.upf
Ga 69.72 Ga.upf
Ag 107.87 Ag.upf
ATOMIC_POSITIONS crystal
Li 0.000 0.249 0.751
Li 0.249 0.751 0.000
Li 0.751 0.000 0.249
Ga 0.260 0.740 0.500
Ga 0.500 0.260 0.740
Ga 0.740 0.500 0.260
Ag 0.243 0.243 0.243
Ag 0.757 0.757 0.757
CELL_PARAMETERS angstrom
3.472 2.005 3.139
-3.472 2.005 3.139
0.000 -4.010 3.139
```

***

# 5
Below is a relaxed structure of TaGa2S4, with properties calculated at the PBE level. Values from VASP.

Values from the calculation:
D(E_F) (states/eV/f.u.): 3.18
VASP energy (eV per atom): -5.21

Cell and atoms, written as Quantum ESPRESSO input:
```
&SYSTEM
  ibrav = 0, nat = 7, ntyp = 3
/
ATOMIC_SPECIES
Ta 180.95 Ta.upf
Ga 69.72 Ga.upf
S 32.06 S.upf
ATOMIC_POSITIONS crystal
Ta 0.000 0.000 0.000
Ga 0.250 0.750 0.500
Ga 0.750 0.250 0.500
S 0.144 0.311 0.455
S 0.311 0.856 0.167
S 0.689 0.144 0.833
S 0.856 0.689 0.545
CELL_PARAMETERS angstrom
-3.647 3.647 3.167
3.647 -3.647 3.167
3.647 3.647 -3.167
```

***

# 6
Below is a relaxed structure of Al2HgI, with properties calculated at the PBE level. Values from VASP.

Values from the calculation:
D(E_F) (states/eV/f.u.): 2.90
Energy relative to the lowest polymorph listed for this composition (eV per atom): 0.0000
VASP energy (eV per atom): -2.06

Cell and atoms, written as Quantum ESPRESSO input:
```
&SYSTEM
  ibrav = 0, nat = 8, ntyp = 3
/
ATOMIC_SPECIES
Al 26.98 Al.upf
Hg 200.59 Hg.upf
I 126.90 I.upf
ATOMIC_POSITIONS crystal
Al 0.066 0.625 0.941
Al 0.375 0.316 0.441
Al 0.684 0.125 0.059
Al 0.875 0.934 0.559
Hg 0.000 0.000 0.000
Hg 0.750 0.250 0.500
I 0.250 0.750 0.500
I 0.500 0.500 0.000
CELL_PARAMETERS angstrom
-3.231 3.231 6.517
3.231 -3.231 6.517
3.231 3.231 -6.517
```

***

# 7
Below is a relaxed structure of InW3Se, with properties calculated at the PBE level. Values from VASP.

Values from the calculation:
D(E_F) (states/eV/f.u.): 4.75
Energy relative to the lowest polymorph listed for this composition (eV per atom): 0.0000
VASP energy (eV per atom): -7.54

Cell and atoms, written as Quantum ESPRESSO input:
```
&SYSTEM
  ibrav = 0, nat = 5, ntyp = 3
/
ATOMIC_SPECIES
In 114.82 In.upf
W 183.84 W.upf
Se 78.96 Se.upf
ATOMIC_POSITIONS crystal
In 0.000 0.000 0.000
W 0.000 0.500 0.500
W 0.500 0.000 0.500
W 0.500 0.500 0.000
Se 0.500 0.500 0.500
CELL_PARAMETERS angstrom
4.630 0.000 0.000
0.000 4.630 0.000
0.000 0.000 4.630
```

***

# 8
Below is a relaxed structure of Na12N2O5, with properties calculated at the PBE level. Values from VASP.

Values from the calculation:
D(E_F) (states/eV/f.u.): 3.50
VASP energy (eV per atom): -3.82

Cell and atoms, written as Quantum ESPRESSO input:
```
&SYSTEM
  ibrav = 0, nat = 19, ntyp = 3
/
ATOMIC_SPECIES
Na 22.99 Na.upf
N 14.01 N.upf
O 16.00 O.upf
ATOMIC_POSITIONS crystal
Na 0.003 0.003 0.217
Na 0.038 0.596 0.397
Na 0.085 0.580 0.926
Na 0.404 0.962 0.603
Na 0.420 0.915 0.074
Na 0.495 0.495 0.723
Na 0.505 0.505 0.277
Na 0.580 0.085 0.926
Na 0.596 0.038 0.397
Na 0.915 0.420 0.074
Na 0.962 0.404 0.603
Na 0.997 0.997 0.783
N 0.110 0.890 0.500
N 0.890 0.110 0.500
O 0.184 0.184 0.855
O 0.189 0.189 0.332
O 0.500 0.500 0.000
O 0.811 0.811 0.668
O 0.816 0.816 0.145
CELL_PARAMETERS angstrom
6.752 -2.859 0.000
6.752 2.859 0.000
-2.349 0.000 7.723
```

***

# 9
Below is a relaxed structure of Pr3HoSn3, with properties calculated at the PBE level. Values from VASP.

Values from the calculation:
D(E_F) (states/eV/f.u.): 4.92
DFT formation energy (eV/atom): -0.459
VASP energy (eV per atom): -4.88

Cell and atoms, written as Quantum ESPRESSO input:
```
&SYSTEM
  ibrav = 0, nat = 14, ntyp = 3
/
ATOMIC_SPECIES
Pr 140.91 Pr.upf
Ho 164.93 Ho.upf
Sn 118.71 Sn.upf
ATOMIC_POSITIONS crystal
Pr 0.153 0.847 0.000
Pr 0.224 0.776 0.500
Pr 0.369 0.369 0.860
Pr 0.631 0.631 0.140
Pr 0.776 0.224 0.500
Pr 0.847 0.153 0.000
Ho 0.290 0.290 0.404
Ho 0.710 0.710 0.596
Sn 0.052 0.052 0.687
Sn 0.156 0.505 0.185
Sn 0.495 0.844 0.815
Sn 0.505 0.156 0.185
Sn 0.844 0.495 0.815
Sn 0.948 0.948 0.313
CELL_PARAMETERS angstrom
4.426 -6.722 0.000
4.426 6.722 0.000
-0.040 0.000 7.946
```

***

# 10
Below is a relaxed structure of PrTlIn6, with properties calculated at the PBE level. Values from VASP.

Values from the calculation:
D(E_F) (states/eV/f.u.): 4.47
DFT formation energy (eV/atom): -0.171
VASP energy (eV per atom): -3.12

Cell and atoms, written as Quantum ESPRESSO input:
```
&SYSTEM
  ibrav = 0, nat = 8, ntyp = 3
/
ATOMIC_SPECIES
Pr 140.91 Pr.upf
Tl 204.38 Tl.upf
In 114.82 In.upf
ATOMIC_POSITIONS crystal
Pr 0.000 0.000 0.000
Tl 0.500 0.500 0.000
In 0.000 0.500 0.000
In 0.252 0.252 0.500
In 0.252 0.748 0.500
In 0.500 0.000 0.000
In 0.748 0.252 0.500
In 0.748 0.748 0.500
CELL_PARAMETERS angstrom
6.859 0.000 0.000
0.000 6.859 0.000
0.000 0.000 4.667
```

***

- Which of these has the highest D(E_F)?
  AgBi3N

***

Repeat the tenth record exactly.
Below is a relaxed structure of PrTlIn6, with properties calculated at the PBE level. Values from VASP.

Values from the calculation:
D(E_F) (states/eV/f.u.): 4.47
DFT formation energy (eV/atom): -0.171
VASP energy (eV per atom): -3.12

Cell and atoms, written as Quantum ESPRESSO input:
```
&SYSTEM
  ibrav = 0, nat = 8, ntyp = 3
/
ATOMIC_SPECIES
Pr 140.91 Pr.upf
Tl 204.38 Tl.upf
In 114.82 In.upf
ATOMIC_POSITIONS crystal
Pr 0.000 0.000 0.000
Tl 0.500 0.500 0.000
In 0.000 0.500 0.000
In 0.252 0.252 0.500
In 0.252 0.748 0.500
In 0.500 0.000 0.000
In 0.748 0.252 0.500
In 0.748 0.748 0.500
CELL_PARAMETERS angstrom
6.859 0.000 0.000
0.000 6.859 0.000
0.000 0.000 4.667
```